# 1
Here is Li2Ag2Ir after structural relaxation from the Alexandria database. Energies are from PBE-GGA.

Summary:
calculated density	9.8	g/cm³
SG	P4/mbm
formation energy from the elements	0.1087	eV/atom

a b c (Å): 6.8556 6.8556 3.0518
angles (deg): 90.00 90.00 90.00
With the nearest neighbours (Å) after each atom.
Fractional positions:
Li1 0.1301 0.3699 0.0000  6 Ag 2.42-2.61, 1 Li 2.52, 2 Ir 2.69
Li2 0.3699 0.8699 0.0000  6 Ag 2.42-2.61, 1 Li 2.52, 2 Ir 2.69
Li3 0.6301 0.1301 0.0000  6 Ag 2.42-2.61, 1 Li 2.52, 2 Ir 2.69
Li4 0.8699 0.6301 0.0000  6 Ag 2.42-2.61, 1 Li 2.52, 2 Ir 2.69
Ag1 0.1761 0.6761 0.5000  6 Li 2.42-2.61
Ag2 0.3239 0.1761 0.5000  6 Li 2.42-2.61
Ag3 0.6761 0.8239 0.5000  6 Li 2.42-2.61
Ag4 0.8239 0.3239 0.5000  6 Li 2.42-2.61
Ir1 0.0000 0.0000 0.0000  4 Li 2.69, 8 Ag 2.95
Ir2 0.5000 0.5000 0.0000  4 Li 2.69, 8 Ag 2.95

# 2
Here is NbCr3N after structural relaxation from the Alexandria database. Energies are from PBE-GGA.

Summary:
energy relative to the elements, uncorrected	2.966	eV/atom
calculated density	4.9	g/cm³
SG	Pm-3m

a b c (Å): 4.4679 4.4679 4.4679
angles (deg): 90.00 90.00 90.00
With the nearest neighbours (Å) after each atom.
Fractional positions:
Nb1 0.0000 0.0000 0.0000  6 Cr 2.23
Cr1 0.0000 0.0000 0.5000  2 Nb 2.23
Cr2 0.0000 0.5000 0.0000  2 Nb 2.23
Cr3 0.5000 0.0000 0.0000  2 Nb 2.23
N1 0.5000 0.5000 0.5000  12 Cr 3.16

# 3
Here is BaP2Pb after structural relaxation from the Alexandria database. Energies are from PBE-GGA.

Summary:
calculated density	5.3	g/cm³
SG	P4mm
formation energy from the elements	-0.1178	eV/atom

a b c (Å): 4.2619 4.2619 6.9708
angles (deg): 90.00 90.00 90.00
With the nearest neighbours (Å) after each atom.
Fractional positions:
Ba1 0.0000 0.0000 0.0000  5 P 3.11-3.30
P1 0.0000 0.0000 0.5270  4 Pb 3.03, 1 Ba 3.30
P2 0.5000 0.5000 0.1124  1 Pb 2.59
Pb1 0.5000 0.5000 0.4838  1 P 2.59

# 4
Here is KZnPb after structural relaxation from the Alexandria database. Energies are from PBE-GGA.

Summary:
calculated density	4.5	g/cm³
SG	F-43m
formation energy from the elements	0.5883	eV/atom

a b c (Å): 5.4518 5.4518 5.4518
angles (deg): 60.00 60.00 60.00
With the nearest neighbours (Å) after each atom.
Fractional positions:
K1 0.0000 0.0000 0.0000  4 Pb 3.34, 4 Zn 3.34
Zn1 0.2500 0.2500 0.2500  4 K 3.34
Pb1 0.7500 0.7500 0.7500  4 K 3.34

# 5
Here is Ac6Pm4Ho after structural relaxation from the Alexandria database. Energies are from PBE-GGA.

Summary:
calculated density	7.6	g/cm³
SG	I-42m
formation energy from the elements	0.3146	eV/atom

a b c (Å): 10.5878 10.5878 10.5878
angles (deg): 141.21 141.21 56.02
With the nearest neighbours (Å) after each atom.
Fractional positions:
Ac1 0.0000 0.5000 0.5000  2 Ho 3.52, 4 Ac 3.76
Ac2 0.0364 0.6702 0.0000  5 Pm 3.53-3.65, 3 Ac 3.64-3.76
Ac3 0.3298 0.3298 0.3662  5 Pm 3.53-3.65, 3 Ac 3.64-3.76
Ac4 0.5000 0.0000 0.5000  2 Ho 3.52, 4 Ac 3.76
Ac5 0.6702 0.0364 0.0000  5 Pm 3.53-3.65, 3 Ac 3.64-3.76
Ac6 0.9636 0.9636 0.6338  5 Pm 3.53-3.65, 3 Ac 3.64-3.76
Pm1 0.1525 0.1525 0.6337  5 Ac 3.53-3.65, 1 Ho 3.57, 1 Pm 3.64
Pm2 0.4813 0.8475 0.0000  5 Ac 3.53-3.65, 1 Ho 3.57, 1 Pm 3.64
Pm3 0.5187 0.5187 0.3663  5 Ac 3.53-3.65, 1 Ho 3.57, 1 Pm 3.64
Pm4 0.8475 0.4813 0.0000  5 Ac 3.53-3.65, 1 Ho 3.57, 1 Pm 3.64
Ho1 0.5000 0.5000 0.0000  4 Ac 3.52, 4 Pm 3.57

# 6
Here is SrLiCo2 after structural relaxation from the Alexandria database. Energies are from PBE-GGA.

Summary:
calculated density	4.1	g/cm³
SG	Pm
formation energy from the elements	0.4057	eV/atom

a b c (Å): 4.0371 3.8773 5.8764
angles (deg): 90.00 109.97 90.00
With the nearest neighbours (Å) after each atom.
Fractional positions:
Sr1 0.0000 0.0000 0.0000  7 Co 3.11-3.15
Li1 0.7285 0.5000 0.4542  6 Co 2.58-2.87
Co1 0.2836 0.0000 0.5627  2 Co 2.19
Co2 0.3733 0.5000 0.7459  2 Co 2.19

# 7
Here is Cd2SiAg after structural relaxation from the Alexandria database. Energies are from PBE-GGA.

Summary:
energy relative to the elements, uncorrected	0.221	eV/atom
calculated density	7.6	g/cm³
SG	P4mm

a b c (Å): 3.0550 3.0550 8.4646
angles (deg): 90.00 90.00 90.00
With the nearest neighbours (Å) after each atom.
Fractional positions:
Cd1 0.0000 0.0000 0.0000  4 Ag 3.04, 8 Cd 3.06-3.20
Cd2 0.5000 0.5000 0.2797  8 Cd 3.06-3.20, 4 Si 3.07
Si1 0.0000 0.0000 0.5370  4 Ag 2.80, 4 Si 3.06, 4 Cd 3.07
Ag1 0.5000 0.5000 0.7471  4 Si 2.80, 4 Cd 3.04, 4 Ag 3.06

# 8
Here is Zn17Cd2 after structural relaxation from the Alexandria database. Energies are from PBE-GGA.

Summary:
calculated density	7.1	g/cm³
SG	R-3m
formation energy from the elements	0.0647	eV/atom

a b c (Å): 6.8466 6.8466 6.8466
angles (deg): 82.60 82.60 82.60
With the nearest neighbours (Å) after each atom.
Fractional positions:
Zn1 0.0000 0.0000 0.5000  10 Zn 2.61-2.74
Zn2 0.0000 0.3085 0.6915  8 Zn 2.63-2.79
Zn3 0.0000 0.5000 0.0000  10 Zn 2.61-2.74
Zn4 0.0000 0.6915 0.3085  8 Zn 2.63-2.79
Zn5 0.1031 0.1031 0.1031  7 Zn 2.74-2.80
Zn6 0.1531 0.6536 0.6536  9 Zn 2.61-2.80
Zn7 0.3085 0.0000 0.6915  8 Zn 2.63-2.79
Zn8 0.3085 0.6915 0.0000  8 Zn 2.63-2.79
Zn9 0.3464 0.3464 0.8469  9 Zn 2.61-2.80
Zn10 0.3464 0.8469 0.3464  9 Zn 2.61-2.80
Zn11 0.5000 0.0000 0.0000  10 Zn 2.61-2.74
Zn12 0.6536 0.1531 0.6536  9 Zn 2.61-2.80
Zn13 0.6536 0.6536 0.1531  9 Zn 2.61-2.80
Zn14 0.6915 0.0000 0.3085  8 Zn 2.63-2.79
Zn15 0.6915 0.3085 0.0000  8 Zn 2.63-2.79
Zn16 0.8469 0.3464 0.3464  9 Zn 2.61-2.80
Zn17 0.8969 0.8969 0.8969  7 Zn 2.74-2.80
Cd1 0.3706 0.3706 0.3706  12 Zn 3.03-3.23
Cd2 0.6294 0.6294 0.6294  12 Zn 3.03-3.23

# 9
Here is SmAl4Au2 after structural relaxation from the Alexandria database. Energies are from PBE-GGA.

Summary:
calculated density	8.2	g/cm³
SG	Pnma
formation energy from the elements	-0.5907	eV/atom

a b c (Å): 17.3959 4.3814 6.8939
angles (deg): 90.00 90.00 90.00
With the nearest neighbours (Å) after each atom.
Fractional positions:
Sm1 0.1403 0.2500 0.0104  9 Al 3.06-3.32, 4 Au 3.28-3.33
Sm2 0.3597 0.7500 0.5104  9 Al 3.06-3.32, 4 Au 3.28-3.33
Sm3 0.6403 0.2500 0.4896  9 Al 3.06-3.32, 4 Au 3.28-3.33
Sm4 0.8597 0.7500 0.9896  9 Al 3.06-3.32, 4 Au 3.28-3.33
Al1 0.0351 0.7500 0.8518  3 Au 2.61-2.74, 2 Al 2.82-2.88
Al2 0.0670 0.2500 0.4763  4 Au 2.61-2.75, 1 Al 2.88
Al3 0.1844 0.7500 0.3236  4 Au 2.63-2.67, 1 Al 2.77
Al4 0.1891 0.7500 0.7255  3 Au 2.62-2.66, 2 Al 2.77-2.82
Al5 0.3109 0.2500 0.2255  3 Au 2.62-2.66, 2 Al 2.77-2.82
Al6 0.3156 0.2500 0.8236  4 Au 2.63-2.67, 1 Al 2.77
Al7 0.4330 0.7500 0.9763  4 Au 2.61-2.75, 1 Al 2.88
Al8 0.4649 0.2500 0.3518  3 Au 2.61-2.74, 2 Al 2.82-2.88
Al9 0.5351 0.7500 0.6482  3 Au 2.61-2.74, 2 Al 2.82-2.88
Al10 0.5670 0.2500 0.0237  4 Au 2.61-2.75, 1 Al 2.88
Al11 0.6844 0.7500 0.1764  4 Au 2.63-2.67, 1 Al 2.77
Al12 0.6891 0.7500 0.7745  3 Au 2.62-2.66, 2 Al 2.77-2.82
Al13 0.8109 0.2500 0.2745  3 Au 2.62-2.66, 2 Al 2.77-2.82
Al14 0.8156 0.2500 0.6764  4 Au 2.63-2.67, 1 Al 2.77
Al15 0.9330 0.7500 0.5237  4 Au 2.61-2.75, 1 Al 2.88
Al16 0.9649 0.2500 0.1482  3 Au 2.61-2.74, 2 Al 2.82-2.88
Au1 0.0361 0.7500 0.2489  7 Al 2.61-2.75
Au2 0.2160 0.2500 0.5280  7 Al 2.62-2.67
Au3 0.2840 0.7500 0.0280  7 Al 2.62-2.67
Au4 0.4639 0.2500 0.7489  7 Al 2.61-2.75
Au5 0.5361 0.7500 0.2511  7 Al 2.61-2.75
Au6 0.7160 0.2500 0.9720  7 Al 2.62-2.67
Au7 0.7840 0.7500 0.4720  7 Al 2.62-2.67
Au8 0.9639 0.2500 0.7511  7 Al 2.61-2.75

# 10
Here is K2YPd after structural relaxation from the Alexandria database. Energies are from PBE-GGA.

Summary:
calculated density	3.4	g/cm³
SG	Fm-3m
formation energy from the elements	0.7054	eV/atom

a b c (Å): 5.7226 5.7226 5.7226
angles (deg): 60.00 60.00 60.00
With the nearest neighbours (Å) after each atom.
Fractional positions:
K1 0.2500 0.2500 0.2500  4 Pd 3.50, 4 Y 3.50
K2 0.7500 0.7500 0.7500  4 Pd 3.50, 4 Y 3.50
Y1 0.0000 0.0000 0.0000  8 K 3.50
Pd1 0.5000 0.5000 0.5000  8 K 3.50

# 11
Here is Hg2POs after structural relaxation from the Alexandria database. Energies are from PBE-GGA.

Summary:
calculated density	14.3	g/cm³
SG	F-43m
formation energy from the elements	1.0369	eV/atom

a b c (Å): 4.6774 4.6774 4.6774
angles (deg): 60.00 60.00 60.00
With the nearest neighbours (Å) after each atom.
Fractional positions:
Hg1 0.0000 0.0000 0.0000  4 P 2.86, 4 Hg 2.86
Hg2 0.2500 0.2500 0.2500  4 Hg 2.86, 4 Os 2.86
P1 0.7500 0.7500 0.7500  4 Os 2.86, 4 Hg 2.86
Os1 0.5000 0.5000 0.5000  4 P 2.86, 4 Hg 2.86

# 12
Here is VCoH after structural relaxation from the Alexandria database. Energies are from PBE-GGA.

Summary:
calculated density	7.2	g/cm³
energy	-6.6490	eV per atom
SG	P3m1

a b c (Å): 2.6323 2.6323 4.2465
angles (deg): 90.00 90.00 120.00
With the nearest neighbours (Å) after each atom.
Fractional positions:
V1 0.0000 0.0000 0.0000  3 H 1.92
Co1 0.3333 0.6667 0.5337  3 H 1.87
H1 0.6667 0.3333 0.2776  3 Co 1.87, 3 V 1.92